No. 1
Below is a relaxed structure of TaZn2TcN, with properties calculated at the GGA-PBE level.

Properties
Crystal system: tetragonal
Formation energy without anion corrections: 220.9 meV per atom
Symmetry: P4/mmm, No. 123

a = 4.098 Å, b = 4.135 Å, c = 4.098 Å
α = 90.00°, β = 90.00°, γ = 90.00°
Sites, in units of the cell vectors:
Zn  0.000  0.000  0.500
Zn  0.500  0.000  0.000
Ta  0.000  0.500  0.000
Tc  0.500  0.500  0.500
N  0.000  0.000  0.000

=====

No. 2
Below is a relaxed structure of TaTe2N, with properties calculated at the GGA-PBE level.

Properties
Crystal system: trigonal
Formation energy without anion corrections: 757.2 meV per atom
Symmetry: R-3m, No. 166

a = 7.786 Å, b = 7.786 Å, c = 7.786 Å
α = 27.96°, β = 27.96°, γ = 27.96°
Sites, in units of the cell vectors:
Ta  0.500  0.500  0.500
Te  0.913  0.913  0.913
Te  0.087  0.087  0.087
N  0.000  0.000  0.000

=====

No. 3
Below is a relaxed structure of TaTeN, with properties calculated at the GGA-PBE level.

Properties
Crystal system: monoclinic
Formation energy without anion corrections: -514.2 meV per atom
Symmetry: C2/m, No. 12

a = 7.199 Å, b = 7.199 Å, c = 11.541 Å
α = 69.30°, β = 69.30°, γ = 29.52°
Sites, in units of the cell vectors:
N  0.244  0.244  0.105
N  0.457  0.457  0.900
N  0.756  0.756  0.895
N  0.543  0.543  0.100
Ta  0.317  0.317  0.898
Ta  0.600  0.600  0.905
Ta  0.400  0.400  0.095
Ta  0.683  0.683  0.102
Te  0.377  0.377  0.630
Te  0.839  0.839  0.301
Te  0.161  0.161  0.699
Te  0.623  0.623  0.370

=====

No. 4
Below is a relaxed structure of TaTeN, with properties calculated at the GGA-PBE level.

Properties
Crystal system: triclinic
Formation energy without anion corrections: -735.1 meV per atom
Symmetry: P-1, No. 2

a = 3.567 Å, b = 3.552 Å, c = 11.437 Å
α = 98.93°, β = 90.14°, γ = 120.25°
Sites, in units of the cell vectors:
Ta  0.144  0.359  0.725
Ta  0.397  0.869  0.494
Te  0.874  0.815  0.910
Te  0.667  0.412  0.308
N  0.464  0.001  0.685
N  0.077  0.226  0.533